Record 1
VASP calculation (PBE) on crystalline Hf2PaN at its relaxed geometry.

Cell and atoms, written as POSCAR:
```
Hf2PaN
1.0
2.944 0.000 0.000
0.000 2.944 0.000
0.000 0.000 8.074
Hf Pa N
2 1 1
direct
0.000 0.000 0.173
0.000 0.000 0.827
0.500 0.500 0.500
0.500 0.500 0.000
```

Output
Its relative energy among the computed polymorphs is 10.79 kcal/mol of atoms. The formation energy without anion corrections comes out at -115 meV/atom.



Record 2
VASP calculation (PBE) on crystalline CaSc2As at its relaxed geometry.

Cell and atoms, written as POSCAR:
```
CaSc2As
1.0
0.000 3.586 3.586
3.586 0.000 3.586
3.586 3.586 0.000
Ca Sc As
1 2 1
direct
0.000 0.000 0.000
0.500 0.500 0.500
0.750 0.750 0.750
0.250 0.250 0.250
```

Output
For the raw total energy, the calculation gives -4.913 eV per atom.



Record 3
VASP calculation (PBE) on crystalline Pm12ErCo6 at its relaxed geometry.

Cell and atoms, written as POSCAR:
```
Pm12ErCo6
1.0
-5.007 5.007 5.007
5.007 -5.007 5.007
5.007 5.007 -5.007
Pm Er Co
12 1 6
direct
0.115 0.310 0.805
0.195 0.504 0.310
0.195 0.885 0.690
0.310 0.195 0.504
0.310 0.805 0.115
0.496 0.690 0.805
0.504 0.310 0.195
0.690 0.195 0.885
0.690 0.805 0.496
0.805 0.115 0.310
0.805 0.496 0.690
0.885 0.690 0.195
0.000 0.000 0.000
0.112 0.500 0.612
0.388 0.888 0.500
0.500 0.388 0.888
0.500 0.612 0.112
0.612 0.112 0.500
0.888 0.500 0.388
```

Output
For the raw total energy, the calculation gives -5.546 eV per atom.



| no. | magnetization (μB/atom) | DOS at the Fermi energy (states/eV/atom) |
| --- | --- | --- |
| 1 | 0.00 | 1.65 |
| 2 | 0.51 | 1.60 |
| 3 | 0.00 | 0.97 |